Record 1
# Sc2TaCu

Crystalline Sc2TaCu at its relaxed geometry (GGA-PBE, Alexandria).

Cell and atoms, written as POSCAR:
```
Sc2TaCu
1.0
3.169 0.000 0.000
0.000 3.970 0.000
0.000 0.000 6.044
Sc Ta Cu
2 1 1
direct
0.000 0.000 0.000
0.500 0.500 0.297
0.000 0.000 0.529
0.500 0.500 0.766
```

Electronic total energy: -6.959 eV/atom
Spin magnetization: 0.0 μB/cell
ΔH_f (0 K): 0.194 eV per atom

=====

Record 2
# CsYRhBr2

Crystalline CsYRhBr2 at its relaxed geometry (GGA-PBE, Alexandria).

Cell and atoms, written as POSCAR:
```
CsYRhBr2
1.0
5.793 0.000 0.000
0.000 5.793 0.000
0.000 0.000 5.175
Cs Y Rh Br
1 1 1 2
direct
0.000 0.000 0.000
0.500 0.500 0.500
0.500 0.500 0.000
0.000 0.500 0.500
0.500 0.000 0.500
```

Electronic total energy: -4.394 eV/atom
Spin magnetization: 0.7 μB/cell
Raw formation energy: -0.7909 eV per atom

=====

Record 3
# Sm8P3Se4S

Crystalline Sm8P3Se4S at its relaxed geometry (GGA-PBE, Alexandria).

Cell and atoms, written as POSCAR:
```
Sm8P3Se4S
1.0
4.104 2.369 6.845
-4.104 2.369 6.845
0.000 -4.739 6.845
Sm P Se S
8 3 4 1
direct
0.239 0.745 0.745
0.243 0.243 0.243
0.255 0.255 0.761
0.255 0.761 0.255
0.745 0.239 0.745
0.745 0.745 0.239
0.757 0.757 0.757
0.761 0.255 0.255
0.000 0.000 0.500
0.000 0.500 0.000
0.500 0.000 0.000
0.000 0.000 0.000
0.000 0.500 0.500
0.500 0.000 0.500
0.500 0.500 0.000
0.500 0.500 0.500
```

Electronic total energy: -6.334 eV/atom
Spin magnetization: 0.0 μB/cell
Raw formation energy: -1.8308 eV per atom

=====

Record 4
# TiSn3Br

Crystalline TiSn3Br at its relaxed geometry (GGA-PBE, Alexandria).

Cell and atoms, written as POSCAR:
```
TiSn3Br
1.0
5.380 0.000 0.000
0.000 5.380 0.000
0.000 0.000 5.380
Ti Sn Br
1 3 1
direct
0.000 0.000 0.000
0.000 0.000 0.500
0.000 0.500 0.000
0.500 0.000 0.000
0.500 0.500 0.500
```

Electronic total energy: -4.199 eV/atom
Spin magnetization: 0.0 μB/cell
Raw formation energy: 0.1164 eV per atom

=====

Record 5
# Zn2Si2Ge

Crystalline Zn2Si2Ge at its relaxed geometry (GGA-PBE, Alexandria).

Cell and atoms, written as POSCAR:
```
Zn2Si2Ge
1.0
3.643 0.000 0.000
0.000 3.643 0.000
0.000 0.000 12.774
Zn Si Ge
4 4 2
direct
0.000 0.000 0.099
0.000 0.000 0.901
0.500 0.500 0.401
0.500 0.500 0.599
0.000 0.500 0.250
0.000 0.500 0.750
0.500 0.000 0.250
0.500 0.000 0.750
0.000 0.000 0.500
0.500 0.500 0.000
```

Electronic total energy: -3.263 eV/atom
Spin magnetization: 0.0 μB/cell
Raw formation energy: 0.3396 eV per atom

=====

Record 6
# CaPaPd4

Crystalline CaPaPd4 at its relaxed geometry (GGA-PBE, Alexandria).

Cell and atoms, written as POSCAR:
```
CaPaPd4
1.0
2.058 -10.310 0.000
2.058 10.310 0.000
0.000 0.000 5.705
Ca Pa Pd
2 2 8
direct
0.226 0.774 0.750
0.774 0.226 0.250
0.078 0.922 0.250
0.922 0.078 0.750
0.070 0.930 0.750
0.359 0.641 0.002
0.359 0.641 0.498
0.500 0.500 0.000
0.500 0.500 0.500
0.641 0.359 0.502
0.641 0.359 0.998
0.930 0.070 0.250
```

Electronic total energy: -6.105 eV/atom
Spin magnetization: 0.0 μB/cell
ΔH_f (0 K): -0.727 eV per atom

=====

Record 7
# GaMoRu3

Crystalline GaMoRu3 at its relaxed geometry (GGA-PBE, Alexandria).

Cell and atoms, written as POSCAR:
```
GaMoRu3
1.0
4.455 0.000 0.000
0.000 4.455 0.000
0.000 0.000 4.455
Ga Mo Ru
1 1 3
direct
0.000 0.000 0.000
0.500 0.500 0.500
0.000 0.000 0.500
0.000 0.500 0.000
0.500 0.000 0.000
```

Electronic total energy: -6.979 eV/atom
Spin magnetization: 0.3 μB/cell
ΔH_f (0 K): 1.358 eV per atom

=====

Record 8
# Ho3Ga2Si3

Crystalline Ho3Ga2Si3 at its relaxed geometry (GGA-PBE, Alexandria).

Cell and atoms, written as POSCAR:
```
Ho3Ga2Si3
1.0
2.048 -5.334 0.000
2.048 5.334 0.000
0.000 0.000 14.796
Ho Ga Si
6 4 6
direct
0.072 0.928 0.750
0.365 0.635 0.596
0.365 0.635 0.904
0.635 0.365 0.096
0.635 0.365 0.404
0.928 0.072 0.250
0.348 0.652 0.121
0.348 0.652 0.379
0.652 0.348 0.621
0.652 0.348 0.879
0.081 0.919 0.552
0.081 0.919 0.948
0.198 0.802 0.250
0.802 0.198 0.750
0.919 0.081 0.052
0.919 0.081 0.448
```

Electronic total energy: -5.118 eV/atom
Spin magnetization: 0.0 μB/cell
Raw formation energy: -0.6110 eV per atom

=====

What did the sixth record say?
# CaPaPd4

Crystalline CaPaPd4 at its relaxed geometry (GGA-PBE, Alexandria).

Cell and atoms, written as POSCAR:
```
CaPaPd4
1.0
2.058 -10.310 0.000
2.058 10.310 0.000
0.000 0.000 5.705
Ca Pa Pd
2 2 8
direct
0.226 0.774 0.750
0.774 0.226 0.250
0.078 0.922 0.250
0.922 0.078 0.750
0.070 0.930 0.750
0.359 0.641 0.002
0.359 0.641 0.498
0.500 0.500 0.000
0.500 0.500 0.500
0.641 0.359 0.502
0.641 0.359 0.998
0.930 0.070 0.250
```

Electronic total energy: -6.105 eV/atom
Spin magnetization: 0.0 μB/cell
ΔH_f (0 K): -0.727 eV per atom